1.
VASP calculation (GGA-PBE) on Be3InHg after structural relaxation.

The structure in POSCAR format:
```
Be3InHg
1.0
-4.4325 0.6163 1.1673
0.7090 -2.3382 3.9267
1.1134 3.9424 2.1464
Be Hg In
3 1 1
Direct
0.0000 0.5000 0.0000 Be
0.0000 0.0000 0.5000 Be
0.5000 0.0000 0.0000 Be
0.5000 0.5000 0.5000 Hg
0.0000 0.0000 0.0000 In
```

## Properties
ΔH_f (0 K), kJ/mol of atoms: 103
Total moment, μB/cell: 0.00

---

2.
VASP calculation (GGA-PBE) on PaZnAs2 after structural relaxation.

The structure in POSCAR format:
```
PaZnAs2
1.0
3.7171 0.0000 0.0000
0.0000 3.7171 0.0000
0.0000 0.0000 6.0707
As Pa Zn
2 1 1
Direct
0.0000 0.0000 0.7647 As
0.0000 0.0000 0.2353 As
0.5000 0.5000 0.0000 Pa
0.5000 0.5000 0.5000 Zn
```

## Properties
ΔH_f (0 K), kJ/mol of atoms: -42
Total moment, μB/cell: 0.00

---

Question: What is the formula in the first record?
Answer: Be3InHg

---

Question: Which of these has the highest ΔH_f (0 K)?
Answer: Be3InHg

---

Question: What is the formula in the first record?
Answer: Be3InHg

---

Question: Which value of ΔH_f (0 K) does entry 1 give?
Answer: 103 kJ/mol of atoms